[1]
{"formula": "HgAsIr3", "functional": "GGA-PBE", "state": "optimized geometry", "lattice": [[4.9277, 0.0000, 0.0000], [0.0000, 4.9277, 0.0000], [0.0000, 0.0000, 4.9277]], "species": ["Hg", "As", "Ir", "Ir", "Ir"], "frac_coords": [[0.0000, 0.0000, 0.0000], [0.5000, 0.5000, 0.5000], [0.0000, 0.0000, 0.5000], [0.0000, 0.5000, 0.0000], [0.5000, 0.0000, 0.0000]], "formation_energy_mev_per_atom": 2474, "de_polymorph_kj_per_mol_fu": 716}


[2]
{"formula": "Cu2BI", "functional": "GGA-PBE", "state": "optimized geometry", "lattice": [[6.3933, 0.0000, 0.0000], [0.0000, 6.3933, 0.0000], [0.0000, 0.0000, 6.3933]], "species": ["Cu", "Cu", "Cu", "Cu", "Cu", "Cu", "Cu", "Cu", "B", "B", "B", "B", "I", "I", "I", "I"], "frac_coords": [[0.2500, 0.2500, 0.2500], [0.2500, 0.2500, 0.7500], [0.2500, 0.7500, 0.2500], [0.2500, 0.7500, 0.7500], [0.7500, 0.2500, 0.2500], [0.7500, 0.2500, 0.7500], [0.7500, 0.7500, 0.2500], [0.7500, 0.7500, 0.7500], [0.0000, 0.0000, 0.0000], [0.0000, 0.5000, 0.5000], [0.5000, 0.0000, 0.5000], [0.5000, 0.5000, 0.0000], [0.0000, 0.0000, 0.5000], [0.0000, 0.5000, 0.0000], [0.5000, 0.0000, 0.0000], [0.5000, 0.5000, 0.5000]], "de_polymorph_kj_per_mol_fu": 252}